1.
Compound: Sc3Be
Source: Alexandria via LeMat-Bulk
Functional: SCAN
Structure: single point on PBEsol structure

Cell and atoms, written as extended XYZ:
```
16
Lattice="5.906 0.000 0.000 0.000 6.139 0.000 0.000 0.000 8.723" Properties=species:S:1:pos:R:3 pbc="T T T"
Sc 5.263 6.073 2.181
Sc 1.144 1.856 3.930
Sc 3.596 3.004 2.181
Sc 4.097 1.214 4.792
Be 0.208 3.517 2.181
Sc 1.809 4.925 3.930
Sc 0.643 0.066 6.542
Sc 4.097 1.214 8.292
Sc 4.762 4.284 4.792
Sc 1.144 1.856 0.431
Sc 2.310 3.136 6.542
Sc 1.809 4.925 0.431
Sc 4.762 4.284 8.292
Be 5.698 2.623 6.542
Be 2.745 0.447 2.181
Be 3.161 5.693 6.542
```

## Properties
Energy relative to the elements ... 25 meV/atom

2.
Compound: SrSc2Ru
Source: Alexandria via LeMat-Bulk
Functional: SCAN
Structure: single point on PBEsol structure

Cell and atoms, written as extended XYZ:
```
4
Lattice="-1.244 -3.223 -0.193 4.185 -1.811 3.276 -4.269 3.356 2.498" Properties=species:S:1:pos:R:3 pbc="T T T"
Ru 2.092 -0.906 1.638
Sr -0.622 -1.611 -0.096
Sc -1.747 0.523 2.521
Sc 0.418 -2.202 3.060
```

## Properties
Energy relative to the elements ... -53 meV/atom

3.
Compound: GePPtO2
Source: Alexandria via LeMat-Bulk
Functional: SCAN
Structure: single point on PBEsol structure

Cell and atoms, written as extended XYZ:
```
5
Lattice="3.841 0.000 0.000 0.000 3.841 0.000 0.000 0.000 4.900" Properties=species:S:1:pos:R:3 pbc="T T T"
O 1.921 0.000 0.000
Pt 0.000 0.000 0.000
O 0.000 1.921 0.000
Ge 1.921 1.921 2.450
P 0.000 0.000 2.450
```

## Properties
Energy relative to the elements, uncorrected ... 0.124 eV/atom

4.
Compound: Zn3Au
Source: Alexandria via LeMat-Bulk
Functional: SCAN
Structure: single point on PBEsol structure

Cell and atoms, written as extended XYZ:
```
4
Lattice="2.907 0.000 0.000 0.000 4.666 0.000 -1.453 -2.333 4.333" Properties=species:S:1:pos:R:3 pbc="T T T"
Zn 0.000 1.565 2.182
Zn 1.453 -0.768 2.151
Au 0.000 0.004 0.000
Zn 1.453 2.310 0.000
```

## Properties
Energy relative to the elements ... -150 meV/atom

5.
Compound: Sr2TaSi
Source: Alexandria via LeMat-Bulk
Functional: SCAN
Structure: single point on PBEsol structure

Cell and atoms, written as extended XYZ:
```
4
Lattice="-2.347 -3.546 -1.881 3.801 -2.663 0.277 -1.956 1.771 4.847" Properties=species:S:1:pos:R:3 pbc="T T T"
Ta 0.727 -3.104 -0.802
Sr -1.788 -2.439 1.082
Sr 0.000 0.000 0.000
Si 1.286 -1.998 2.161
```

## Properties
Energy relative to the elements, uncorrected ... 0.834 eV/atom

6.
Compound: MgScP2Cl
Source: Alexandria via LeMat-Bulk
Functional: SCAN
Structure: single point on PBEsol structure

Cell and atoms, written as extended XYZ:
```
5
Lattice="4.673 0.000 0.000 0.000 4.732 0.000 0.000 0.000 4.732" Properties=species:S:1:pos:R:3 pbc="T T T"
P 0.000 0.000 2.366
P 0.000 2.366 0.000
Cl 2.336 0.000 0.000
Mg 0.000 0.000 0.000
Sc 2.336 2.366 2.366
```

## Properties
Energy relative to the elements, uncorrected ... -0.161 eV/atom

7.
Compound: SrYNi2
Source: Alexandria via LeMat-Bulk
Functional: SCAN
Structure: single point on PBEsol structure

Cell and atoms, written as extended XYZ:
```
4
Lattice="4.503 0.050 -0.003 2.221 3.917 -0.003 2.246 1.325 5.184" Properties=species:S:1:pos:R:3 pbc="T T T"
Ni 5.599 3.303 0.554
Sr 1.123 0.663 2.592
Ni 3.371 1.989 4.624
Y 3.362 1.984 -0.003
```

## Properties
Energy relative to the elements ... 10 meV/atom

8.
Compound: IrRu2Rh
Source: Alexandria via LeMat-Bulk
Functional: SCAN
Structure: single point on PBEsol structure

Cell and atoms, written as extended XYZ:
```
4
Lattice="-0.656 -1.226 2.279 3.738 -2.713 -0.383 2.059 3.983 1.172" Properties=species:S:1:pos:R:3 pbc="T T T"
Ir 1.562 -1.966 0.956
Ru 5.126 0.038 3.061
Rh 1.459 0.396 2.197
Ru 3.677 -0.351 0.870
```

## Properties
Energy relative to the elements ... 1 meV/atom

9.
Compound: MnCoAg2
Source: Alexandria via LeMat-Bulk
Functional: SCAN
Structure: single point on PBEsol structure

Cell and atoms, written as extended XYZ:
```
4
Lattice="3.786 0.000 0.000 0.000 3.786 0.000 -1.893 -1.893 3.979" Properties=species:S:1:pos:R:3 pbc="T T T"
Mn 0.000 0.000 0.000
Co 1.893 1.893 0.000
Ag 0.000 1.893 1.989
Ag 1.893 0.000 1.989
```

## Properties
Energy relative to the elements ... 183 meV/atom

10.
Compound: NiP3Au
Source: Alexandria via LeMat-Bulk
Functional: SCAN
Structure: single point on PBEsol structure

Cell and atoms, written as extended XYZ:
```
5
Lattice="4.709 0.000 0.000 0.000 4.709 0.000 0.000 0.000 4.709" Properties=species:S:1:pos:R:3 pbc="T T T"
P 2.354 0.000 0.000
P 0.000 2.354 0.000
Au 0.000 0.000 0.000
P 0.000 0.000 2.354
Ni 2.354 2.354 2.354
```

## Properties
Energy relative to the elements ... 1617 meV/atom

11.
Compound: MgVInS4
Source: Alexandria via LeMat-Bulk
Functional: SCAN
Structure: single point on PBEsol structure

Cell and atoms, written as extended XYZ:
```
14
Lattice="-1.846 5.245 4.451 -3.758 -6.418 0.305 6.978 0.326 2.510" Properties=species:S:1:pos:R:3 pbc="T T T"
S -2.410 -4.844 1.842
V -1.879 -3.209 0.152
S 3.073 -1.608 3.170
V -2.802 -0.587 2.378
Mg 0.854 -2.632 3.455
S 4.713 1.359 3.186
Mg 0.520 1.785 3.811
S -3.339 -2.206 4.081
S -1.700 0.761 4.097
In 0.000 0.000 0.000
S 3.784 3.997 5.424
S 2.126 0.940 5.473
In 3.489 0.163 1.255
S -0.752 -1.787 1.794
```

## Properties
Energy relative to the elements, uncorrected ... -1.111 eV/atom

12.
Compound: Ba2AlSn2F11
Source: Alexandria via LeMat-Bulk
Functional: SCAN
Structure: single point on PBEsol structure

Cell and atoms, written as extended XYZ:
```
48
Lattice="-7.402 0.721 1.666 3.107 -6.931 -0.629 3.363 0.158 14.874" Properties=species:S:1:pos:R:3 pbc="T T T"
F 3.857 -3.305 12.275
F -3.942 -0.142 13.553
F -5.464 0.592 5.404
F 2.222 -5.831 7.257
F 0.779 -2.619 4.945
Sn 1.962 -4.940 1.275
Al -2.007 -3.134 7.679
F 2.621 -4.795 3.267
F 0.066 -6.013 9.069
F -4.862 -0.492 7.940
Sn -0.399 -5.797 7.030
F -2.694 -0.048 0.951
F -1.533 -5.053 14.999
Ba -6.635 -0.316 1.809
Al -2.567 -1.319 12.998
Sn 0.029 -3.453 14.814
F -1.889 -2.328 1.768
F -3.400 -4.605 2.441
F -3.654 -1.601 11.608
F -3.787 -3.040 7.416
Ba -0.042 -0.045 5.527
F -1.365 -2.530 12.483
F -1.809 0.077 12.148
F 1.356 -0.743 9.088
F 1.457 -5.004 15.241
F 1.944 -2.059 13.814
Ba -1.461 -4.960 11.112
F -2.227 -4.986 8.004
F 0.265 -6.099 2.693
F -0.213 -3.498 7.986
F -0.723 -0.134 2.401
F -1.672 -1.419 7.329
Sn 1.687 -2.196 11.732
F 0.946 -2.739 2.301
F -1.767 -3.671 5.991
F -4.185 -1.329 2.684
F -1.971 -1.448 4.155
F -2.257 -2.918 9.447
F 0.975 -0.184 11.829
Ba 3.010 -5.677 13.094
Sn -0.719 -0.185 9.736
F 3.224 -5.205 9.631
Ba 2.416 -3.174 7.990
Ba -1.129 -4.032 3.589
F 0.610 -4.337 12.818
F -1.723 -0.852 14.516
Sn -4.832 -1.560 5.469
Al -2.483 -0.817 2.551
```

## Properties
Energy relative to the elements, uncorrected ... -3.359 eV/atom

13.
Compound: Mg2TiAg
Source: Alexandria via LeMat-Bulk
Functional: SCAN
Structure: single point on PBEsol structure

Cell and atoms, written as extended XYZ:
```
4
Lattice="4.668 0.000 0.000 2.334 4.043 0.000 2.334 1.348 3.811" Properties=species:S:1:pos:R:3 pbc="T T T"
Mg 2.334 1.348 0.953
Ti 0.000 0.000 0.000
Ag 4.668 2.695 1.906
Mg 7.002 4.043 2.859
```

## Properties
Energy relative to the elements ... 78 meV/atom

14.
Compound: LiVP2O8
Source: Alexandria via LeMat-Bulk
Functional: SCAN
Structure: single point on PBEsol structure

Cell and atoms, written as extended XYZ:
```
24
Lattice="-4.358 1.031 -1.125 1.666 -4.523 -1.121 -3.973 -3.185 12.474" Properties=species:S:1:pos:R:3 pbc="T T T"
O -1.347 -3.128 -1.092
O -4.887 -3.370 8.850
V 0.000 0.000 0.000
Li -5.059 0.165 2.069
O 0.391 -4.222 0.327
O -6.703 -4.913 9.725
O -2.444 -1.484 4.342
P -0.722 -3.130 0.352
O -2.624 -5.170 7.910
O -7.057 -2.455 9.901
P -3.762 -2.001 3.690
O -3.675 -3.567 3.757
O -4.042 -1.507 2.318
P -2.903 -4.676 6.539
V -1.987 -1.592 6.237
O -5.318 -3.549 11.320
Li -3.272 -2.319 9.280
O -1.749 -5.095 5.554
O -2.991 -3.110 6.472
O -1.779 -3.307 1.378
O -4.222 -5.193 5.887
O 0.037 -1.764 0.503
P -5.944 -3.547 9.877
O -4.916 -1.582 4.674
```

## Properties
Energy relative to the elements, uncorrected ... -2.417 eV/atom

15.
Compound: Sr2GePb
Source: Alexandria via LeMat-Bulk
Functional: SCAN
Structure: single point on PBEsol structure

Cell and atoms, written as extended XYZ:
```
4
Lattice="5.559 0.000 0.000 2.780 4.815 0.000 2.780 1.605 4.539" Properties=species:S:1:pos:R:3 pbc="T T T"
Pb 5.559 3.210 2.270
Ge 0.000 0.000 0.000
Sr 8.339 4.815 3.404
Sr 2.780 1.605 1.135
```

## Properties
Energy relative to the elements ... -562 meV/atom

16.
Compound: Na3B5SO8
Source: Alexandria via LeMat-Bulk
Functional: SCAN
Structure: single point on PBEsol structure

Cell and atoms, written as extended XYZ:
```
68
Lattice="-4.584 4.049 1.417 1.374 -2.178 10.669 7.549 8.565 -0.052" Properties=species:S:1:pos:R:3 pbc="T T T"
B 5.003 8.525 2.453
O 2.370 8.014 11.296
S 6.547 9.177 1.746
O 3.030 7.075 7.713
B -2.562 4.069 4.621
Na 4.482 7.226 9.855
O 1.969 2.422 0.739
Na 1.864 5.566 9.539
O 0.041 4.947 7.945
Na 4.934 9.967 7.459
S 7.179 8.136 7.098
O 3.550 7.454 5.384
O 1.043 8.038 6.748
Na 0.383 -0.878 9.820
O 2.999 2.621 2.871
O 5.085 7.639 3.509
O 2.728 7.071 3.188
O 0.320 5.066 5.577
O 3.296 2.398 5.286
B 3.706 0.730 10.190
B 5.999 4.597 8.922
Na 2.193 9.730 5.015
B 3.518 6.676 6.500
O 2.897 1.475 9.378
B 2.549 8.103 2.188
O 1.441 8.961 2.657
O 1.611 3.365 8.847
O -0.288 5.720 2.500
O 2.584 9.469 7.861
Na -0.143 3.210 2.180
B 0.445 3.497 8.008
Na -0.595 0.468 4.575
O 1.309 3.360 4.322
B -0.287 5.514 6.745
O -2.070 4.448 3.388
O 2.162 7.532 0.855
O 1.340 7.815 9.164
O 3.940 5.922 0.935
Na 2.146 0.706 7.019
B 3.893 6.939 4.026
B 6.900 6.366 7.413
S -2.841 2.300 4.937
B 1.994 8.111 7.907
Na 3.639 3.358 7.682
O 3.775 8.900 1.946
B 2.344 2.325 4.128
O 4.627 4.715 9.534
O 6.408 5.987 8.647
B -0.128 5.856 1.149
O 0.564 1.535 10.089
B -1.660 5.839 3.112
O 1.755 0.966 4.174
B 1.789 2.333 9.846
O -0.746 2.797 8.526
B 4.467 4.580 10.885
B 0.821 3.760 5.535
O 4.297 5.489 4.089
O 0.789 2.982 6.651
O 2.177 2.904 11.179
O 4.019 5.370 6.457
Na 3.955 11.314 2.215
B 0.633 9.706 1.844
O 0.399 4.514 11.100
B 4.626 4.922 5.289
S -2.208 1.259 10.288
Na 2.474 4.870 2.495
B -0.664 1.911 9.581
Na 0.699 7.078 4.353
```

## Properties
Energy relative to the elements, uncorrected ... -2.381 eV/atom

17.
Compound: ZrHO2F
Source: Alexandria via LeMat-Bulk
Functional: SCAN
Structure: single point on PBEsol structure

Cell and atoms, written as extended XYZ:
```
5
Lattice="3.122 0.000 0.000 0.000 3.484 0.000 0.000 0.000 3.484" Properties=species:S:1:pos:R:3 pbc="T T T"
O 0.000 1.742 0.000
Zr 1.561 1.742 1.742
O 0.000 0.000 1.742
H 0.000 0.000 0.000
F 1.561 0.000 0.000
```

18.
Compound: YGa2Rh2
Source: Alexandria via LeMat-Bulk
Functional: SCAN
Structure: single point on PBEsol structure

Cell and atoms, written as extended XYZ:
```
5
Lattice="4.168 0.003 0.003 0.003 4.168 0.003 -2.083 -2.083 4.946" Properties=species:S:1:pos:R:3 pbc="T T T"
Rh 0.003 2.086 2.475
Ga 0.001 0.001 3.718
Rh 2.086 0.003 2.475
Ga 2.088 2.088 1.233
Y -2.082 -2.082 4.946
```

## Properties
Energy relative to the elements ... -950 meV/atom

no.,E (eV per atom)
1,-11.7416
2,-21.4466
3,-22.3040
4,-27.5756
5,-29.4532
6,-9.7579
7,-20.6059
8,-43.6296
9,-24.3905
10,-21.6878
11,-14.5913
12,-15.7114
13,-14.2582
14,-9.9609
15,-35.4165
16,-8.8089
17,-11.9043
18,-26.5662